{
  "formula": "NbWNO2",
  "functional": "GGA+U",
  "state": "relaxed",
  "cell": [[3.918, 0.000, 0.000], [0.000, 3.918, 0.000], [0.000, 0.000, 4.074]],
  "species": ["Nb", "W", "N", "O", "O"],
  "fractional_positions": [[0.000, 0.000, 0.000], [0.500, 0.500, 0.500], [0.500, 0.500, 0.000], [0.000, 0.500, 0.500], [0.500, 0.000, 0.500]],
  "final_energy_ev_per_cell": -37.52,
  "sg": "P4/mmm",
  "crystal_system": "tetragonal"
}